Crystalline TaBeAgRu2 at its relaxed geometry, computed with GGA-PBEsol.

a = 4.171 Å, b = 4.171 Å, c = 4.011 Å
α = 90.00°, β = 90.00°, γ = 90.00°
Fractional positions:
Ta1 0.000 0.000 0.000
Be1 0.500 0.500 0.500
Ag1 0.500 0.500 0.000
Ru1 0.000 0.500 0.500
Ru2 0.500 0.000 0.500

The formation energy is 364 meV per atom. Its space group is P4/mmm.

---

Crystalline CsBa3O at its relaxed geometry, computed with GGA-PBEsol.

a = 6.207 Å, b = 6.207 Å, c = 6.207 Å
α = 90.00°, β = 90.00°, γ = 90.00°
Fractional positions:
Cs1 0.000 0.000 0.000
Ba1 0.000 0.000 0.500
Ba2 0.000 0.500 0.000
Ba3 0.500 0.000 0.000
O1 0.500 0.500 0.500

Its space group is Pm-3m. The uncorrected formation energy comes out at 465 kJ/mol of formula units.

---

Crystalline Li4V5CuClO15 at its relaxed geometry, computed with GGA-PBEsol.

a = 8.467 Å, b = 8.467 Å, c = 5.120 Å
α = 90.00°, β = 90.00°, γ = 90.00°
Fractional positions:
Li1 0.139 0.781 0.000
Li2 0.219 0.139 0.000
Li3 0.781 0.861 0.000
Li4 0.861 0.219 0.000
V1 0.143 0.362 0.455
V2 0.362 0.857 0.455
V3 0.500 0.500 0.364
V4 0.638 0.143 0.455
V5 0.857 0.638 0.455
Cu1 0.000 0.000 0.319
Cl1 0.000 0.000 0.784
O1 0.000 0.500 0.569
O2 0.054 0.224 0.251
O3 0.223 0.273 0.703
O4 0.224 0.946 0.251
O5 0.273 0.777 0.703
O6 0.289 0.457 0.276
O7 0.457 0.711 0.276
O8 0.500 0.000 0.569
O9 0.500 0.500 0.672
O10 0.543 0.289 0.276
O11 0.711 0.543 0.276
O12 0.727 0.223 0.703
O13 0.776 0.054 0.251
O14 0.777 0.727 0.703
O15 0.946 0.776 0.251

Its space group is P4. The uncorrected formation energy comes out at -5259 kJ/mol of formula units.

---

Crystalline HoTlRh2 at its relaxed geometry, computed with GGA-PBEsol.

a = 4.638 Å, b = 4.638 Å, c = 4.638 Å
α = 60.00°, β = 60.00°, γ = 60.00°
Fractional positions:
Ho1 0.000 0.000 0.000
Tl1 0.500 0.500 0.500
Rh1 0.250 0.250 0.250
Rh2 0.750 0.750 0.750

The formation energy is -562 meV per atom. Its space group is Fm-3m.

---

| no. | total DFT energy (no corrections) (eV/atom) |
| --- | --- |
| 1 | -7.68 |
| 2 | -1.56 |
| 3 | -7.52 |
| 4 | -6.53 |